Compound: Pr2Sm5Dy
Source: Alexandria
Functional: PBE
Structure: optimized geometry

```
16
Lattice="-2.387 -3.111 3.316 -3.573 -3.136 -5.513 10.734 -9.743 -1.415" Properties=species:S:1:pos:R:3 pbc="T T T"
Pr 4.621 -8.421 -0.598
Pr 0.153 -7.569 -3.015
Pr -0.754 -3.556 0.097
Pr 5.529 -12.434 -3.709
Sm 0.000 0.000 0.000
Sm 3.581 -6.439 -3.464
Sm 6.276 -8.878 -3.812
Sm 0.885 -4.001 -3.117
Sm 2.686 -2.446 -0.362
Sm 4.475 -10.433 -6.567
Sm 7.314 -10.866 -0.954
Sm -2.539 -5.124 -2.659
Sm 1.940 -6.001 -0.257
Sm 2.835 -9.989 -3.355
Dy 5.367 -4.872 -0.708
Dy -1.787 -1.568 -2.757
```

Output
The uncorrected energy comes out at -75.27 eV for the cell shown. The calculation puts the density of states at the Fermi level at 11.62 states/eV/f.u. The density is 7.3 g cm⁻³. The calculated formation energy is 12 kJ/mol of formula units. Its space-group type is Pbam (55). Its volume is 544.5 Å³/cell.